VASP calculation (PBE) on a geometry-optimized RbPb2I2 structure.

Lattice parameters (Å, degrees): 10.433 10.433 10.433 154.61 154.61 36.22
Element x y z (fractional)
Rb1 0.000 0.000 0.000
Pb1 0.250 0.750 0.500
Pb2 0.750 0.250 0.500
I1 0.395 0.395 0.000
I2 0.605 0.605 0.000

## Properties
- VASP energy: -2.890 eV/atom
- Uncorrected formation energy: -593 meV/atom
- Offset from the most stable computed form: 0.0 meV/atom
- Theoretical density: 6.0 g cm⁻³
- Total moment: 0.00 μB/atom

VASP calculation (PBE) on a geometry-optimized SbPdI2N structure.

Lattice parameters (Å, degrees): 5.857 5.857 3.749 90.00 90.00 90.00
Element x y z (fractional)
Sb1 0.000 0.000 0.000
Pd1 0.500 0.500 0.500
I1 0.000 0.500 0.500
I2 0.500 0.000 0.500
N1 0.500 0.500 0.000

## Properties
- VASP energy: -3.437 eV/atom
- Uncorrected formation energy: 711 meV/atom
- Offset from the most stable computed form: 0.0 meV/atom
- Theoretical density: 6.4 g cm⁻³
- Total moment: 0.00 μB/atom

VASP calculation (PBE) on a geometry-optimized Tl2AgHg structure.

Lattice parameters (Å, degrees): 3.876 4.736 6.058 90.00 107.07 90.00
Element x y z (fractional)
Tl1 0.000 0.000 0.000
Tl2 0.297 0.500 0.619
Ag1 0.569 0.500 0.145
Hg1 0.715 0.000 0.454

## Properties
- VASP energy: -1.899 eV/atom
- Offset from the most stable computed form: 4.4 meV/atom
- Theoretical density: 11.2 g cm⁻³
- Total moment: 0.00 μB/atom

VASP calculation (PBE) on a geometry-optimized VCdSN2 structure.

Lattice parameters (Å, degrees): 4.123 4.123 5.294 90.00 90.00 90.00
Element x y z (fractional)
V1 0.000 0.000 0.000
Cd1 0.500 0.500 0.500
S1 0.500 0.500 0.000
N1 0.000 0.500 0.500
N2 0.500 0.000 0.500

## Properties
- VASP energy: -4.440 eV/atom
- Uncorrected formation energy: 1722 meV/atom
- Offset from the most stable computed form: 1590.2 meV/atom
- Theoretical density: 4.1 g cm⁻³
- Total moment: 0.03 μB/atom

VASP calculation (PBE) on a geometry-optimized Dy6OsRh3 structure.

Lattice parameters (Å, degrees): 8.209 11.982 4.753 90.00 90.00 90.00
Element x y z (fractional)
Dy1 0.002 0.249 0.000
Dy2 0.161 0.414 0.500
Dy3 0.172 0.080 0.500
Dy4 0.328 0.580 0.000
Dy5 0.339 0.914 0.000
Dy6 0.498 0.749 0.500
Dy7 0.502 0.251 0.500
Dy8 0.661 0.086 0.000
Dy9 0.672 0.420 0.000
Dy10 0.828 0.920 0.500
Dy11 0.839 0.586 0.500
Dy12 0.998 0.751 0.000
Os1 0.000 0.500 0.000
Os2 0.500 0.000 0.500
Rh1 0.000 0.000 0.000
Rh2 0.164 0.835 0.500
Rh3 0.336 0.335 0.000
Rh4 0.500 0.500 0.500
Rh5 0.664 0.665 0.000
Rh6 0.836 0.165 0.500

## Properties
- VASP energy: -6.604 eV/atom
- Theoretical density: 10.5 g cm⁻³
- Total moment: 0.00 μB/atom

VASP calculation (PBE) on a geometry-optimized AcSc2Ir structure.

Lattice parameters (Å, degrees): 3.395 3.395 8.607 90.00 90.00 90.00
Element x y z (fractional)
Ac1 0.000 0.000 0.000
Sc1 0.500 0.500 0.326
Sc2 0.500 0.500 0.674
Ir1 0.000 0.000 0.500

## Properties
- VASP energy: -6.804 eV/atom
- Offset from the most stable computed form: 0.0 meV/atom
- Theoretical density: 8.5 g cm⁻³
- Total moment: 0.00 μB/atom

VASP calculation (PBE) on a geometry-optimized LaInSb structure.

Lattice parameters (Å, degrees): 9.201 9.201 9.201 33.27 33.27 33.27
Element x y z (fractional)
La1 0.090 0.090 0.090
La2 0.910 0.910 0.910
In1 0.328 0.328 0.328
In2 0.672 0.672 0.672
Sb1 0.214 0.214 0.214
Sb2 0.786 0.786 0.786

## Properties
- VASP energy: -4.517 eV/atom
- Uncorrected formation energy: -588 meV/atom
- Offset from the most stable computed form: 0.0 meV/atom
- Theoretical density: 6.0 g cm⁻³
- Total moment: 0.00 μB/atom